Here is a relaxed MnZn2NiO4 crystal from the Alexandria database. Energies are from PBE+U.

Lattice parameters (Å, degrees): 4.358 4.358 8.703 90.00 90.00 90.00
Space group I-4m2 (No. 119)
Symmetry-distinct sites (fractional):
Mn 0.000 0.000 0.000 [2 per cell]
Zn 0.000 0.000 0.500 [2 per cell]
Zn 0.000 0.500 0.250 [2 per cell]
Ni 0.000 0.500 0.750 [2 per cell]
O 0.000 0.000 0.257 [4 per cell]
O 0.000 0.500 0.505 [4 per cell]

Summary:
VASP energy in eV/atom: -5.356
N(E_F) in states/eV/f.u.: 0.6